[1]
VASP calculation (PBE-GGA) on a geometry-optimized Sr2Li2PrPb2 structure.

* formation enthalpy at 0 K: -284 kJ/mol of formula units
* crystal system: trigonal

a = 4.9143 Å, b = 4.9143 Å, c = 33.6389 Å
α = 90.00°, β = 90.00°, γ = 120.00°
Space group R-3m (No. 166, hexagonal axes)
Inequivalent atoms, fractional coordinates:
Sr 0.0000 0.0000 0.1171 (multiplicity 6)
Li 0.0000 0.0000 0.3828 (multiplicity 6)
Pr 0.0000 0.0000 0.0000 (multiplicity 3)
Pb 0.0000 0.0000 0.2776 (multiplicity 6)



[2]
VASP calculation (PBE-GGA) on a geometry-optimized SrLi2PrPb2 structure.

* formation enthalpy at 0 K: -293 kJ/mol of formula units
* crystal system: trigonal

a = 4.9674 Å, b = 4.9674 Å, c = 8.0056 Å
α = 90.00°, β = 90.00°, γ = 120.00°
Space group P-3m1 (No. 164)
Inequivalent atoms, fractional coordinates:
Sr 0.0000 0.0000 0.0000 (multiplicity 1)
Li 0.3333 0.6667 0.7106 (multiplicity 2)
Pr 0.0000 0.0000 0.5000 (multiplicity 1)
Pb 0.3333 0.6667 0.2800 (multiplicity 2)



[3]
VASP calculation (PBE-GGA) on a geometry-optimized LiTbPrPb structure.

* formation enthalpy at 0 K: -117 kJ/mol of formula units
* crystal system: cubic

a = 7.637 Å, b = 7.637 Å, c = 7.637 Å
α = 90.00°, β = 90.00°, γ = 90.00°
Space group F-43m (No. 216)
Inequivalent atoms, fractional coordinates:
Li 0.000 0.000 0.000 (multiplicity 4)
Tb 0.250 0.250 0.250 (multiplicity 4)
Pr 0.250 0.250 0.750 (multiplicity 4)
Pb 0.000 0.000 0.500 (multiplicity 4)



[4]
VASP calculation (PBE-GGA) on a geometry-optimized LiPrTe3Pb structure.

* ΔE_f (raw): -0.96 eV/atom
* crystal system: monoclinic

a = 9.399 Å, b = 4.371 Å, c = 9.825 Å
α = 90.00°, β = 101.56°, γ = 90.00°
Space group P2_1/m (No. 11)
Inequivalent atoms, fractional coordinates:
Li 0.088 0.250 0.089 (multiplicity 2)
Pr 0.171 0.250 0.729 (multiplicity 2)
Te 0.091 0.250 0.377 (multiplicity 2)
Te 0.213 0.750 0.982 (multiplicity 2)
Te 0.404 0.750 0.661 (multiplicity 2)
Pb 0.339 0.750 0.333 (multiplicity 2)



[5]
VASP calculation (PBE-GGA) on a geometry-optimized LiPrTe4Pb2 structure.

* ΔE_f (raw): -0.82 eV/atom
* crystal system: monoclinic

a = 7.801 Å, b = 4.561 Å, c = 7.955 Å
α = 90.00°, β = 109.03°, γ = 90.00°
Space group P2/m (No. 10)
Inequivalent atoms, fractional coordinates:
Li 0.000 0.000 0.000 (multiplicity 1)
Pr 0.500 0.500 0.000 (multiplicity 1)
Te 0.242 0.500 0.236 (multiplicity 2)
Te 0.247 0.000 0.761 (multiplicity 2)
Pb 0.000 0.500 0.500 (multiplicity 1)
Pb 0.500 0.000 0.500 (multiplicity 1)



[6]
VASP calculation (PBE-GGA) on a geometry-optimized Li2Pr2ThPb2 structure.

* formation enthalpy at 0 K: -176 kJ/mol of formula units
* crystal system: trigonal

a = 4.9355 Å, b = 4.9355 Å, c = 27.8834 Å
α = 90.00°, β = 90.00°, γ = 120.00°
Space group R-3m (No. 166, hexagonal axes)
Inequivalent atoms, fractional coordinates:
Li 0.0000 0.0000 0.0974 (multiplicity 6)
Pr 0.0000 0.0000 0.3718 (multiplicity 6)
Th 0.0000 0.0000 0.5000 (multiplicity 3)
Pb 0.0000 0.0000 0.2331 (multiplicity 6)